Record 1
A geometry-optimized MgSc4 structure, computed with PBE-GGA.

The distance to the lowest polymorph of the same formula comes out at 0 meV per atom. The density of states at the Fermi level is 17.12 states/eV per cell. The total energy is -5.3816 eV/atom.

The space group is I4/mmm (No. 139) and the conventional cell measures 3.262, 3.262 and 22.662 Å, with angles of 90.00, 90.00 and 90.00 degrees. The distinct sites, in fractional coordinates, are Mg at (0.000, 0.000, 0.000), Sc at (0.000, 0.000, 0.199) and Sc at (0.000, 0.000, 0.401).

Record 2
A geometry-optimized Mg3Sc4 structure, computed with PBE-GGA.

The distance to the lowest polymorph of the same formula comes out at 570 meV per atom. The density of states at the Fermi level is 69.57 states/eV per cell. The total energy is -3.7676 eV/atom.

The space group is R-3m (No. 166, hexagonal axes) and the conventional cell measures 10.0037, 10.0037 and 13.6527 Å, with angles of 90.00, 90.00 and 120.00 degrees. The distinct sites, in fractional coordinates, are Mg at (0.0000, 0.0000, 0.0000), Mg at (0.0000, 0.0000, 0.4068), Mg at (0.0000, 0.5000, 0.5000), Sc at (0.0000, 0.0000, 0.2060) and Sc at (0.0047, 0.5024, 0.7402).

Record 3
A geometry-optimized MgSc4 structure, computed with PBE-GGA.

The distance to the lowest polymorph of the same formula comes out at 716 meV per atom. The density of states at the Fermi level is 7.93 states/eV per cell. The total energy is -4.6659 eV/atom.

The space group is Pm-3m (No. 221) and the conventional cell measures 5.200, 5.200 and 5.200 Å, with angles of 90.00, 90.00 and 90.00 degrees. The distinct sites, in fractional coordinates, are Mg at (0.000, 0.000, 0.000), Sc at (0.000, 0.000, 0.500) and Sc at (0.500, 0.500, 0.500).

Record 4
A geometry-optimized Mg3Sc5 structure, computed with PBE-GGA.

The distance to the lowest polymorph of the same formula comes out at 0 meV per atom. The density of states at the Fermi level is 10.05 states/eV per cell. The total energy is -4.5803 eV/atom.

The space group is P4/mmm (No. 123) and the conventional cell measures 3.280, 3.280 and 17.735 Å, with angles of 90.00, 90.00 and 90.00 degrees. The distinct sites, in fractional coordinates, are Mg at (0.000, 0.000, 0.000), Mg at (0.500, 0.500, 0.377), Sc at (0.000, 0.000, 0.251), Sc at (0.000, 0.000, 0.500) and Sc at (0.500, 0.500, 0.126).

Record 5
A geometry-optimized Mg2Sc3 structure, computed with PBE-GGA.

The distance to the lowest polymorph of the same formula comes out at 64 meV per atom. The density of states at the Fermi level is 55.66 states/eV per cell. The total energy is -4.3900 eV/atom.

The space group is Fdd2 (No. 43) and the conventional cell measures 10.724, 15.319 and 5.784 Å, with angles of 90.00, 90.00 and 90.00 degrees. The distinct sites, in fractional coordinates, are Mg at (0.023, 0.202, 0.000), Sc at (0.000, 0.000, 0.045) and Sc at (0.037, 0.099, 0.527).

Record 6
A geometry-optimized MgScSe2 structure, computed with PBE-GGA.

The value obtained for the formation energy (no corrections) is -280.8 meV per atom. The density of states at the Fermi level is 13.64 states/eV per cell. The total energy is -4.0046 eV/atom.

The space group is F-43m (No. 216) and the conventional cell measures 6.991, 6.991 and 6.991 Å, with angles of 90.00, 90.00 and 90.00 degrees. The distinct sites, in fractional coordinates, are Mg at (0.000, 0.000, 0.000), Sc at (0.250, 0.250, 0.250), Se at (0.000, 0.000, 0.500) and Se at (0.250, 0.250, 0.750).

Record 7
A geometry-optimized MgSc2Se structure, computed with PBE-GGA.

The distance to the lowest polymorph of the same formula comes out at 263 meV per atom. The value obtained for the formation energy (no corrections) is -487.4 meV per atom. The density of states at the Fermi level is 6.86 states/eV per cell. The total energy is -4.9229 eV/atom.

The space group is C2/m (No. 12) and the conventional cell measures 6.106, 8.105 and 3.429 Å, with angles of 90.00, 90.24 and 90.00 degrees. The distinct sites, in fractional coordinates, are Mg at (0.000, 0.000, 0.000), Sc at (0.250, 0.250, 0.500) and Se at (0.000, 0.500, 0.000).

Record 8
A geometry-optimized MgScSe2 structure, computed with PBE-GGA.

The value obtained for the formation energy (no corrections) is -1069.7 meV per atom. The density of states at the Fermi level is 2.05 states/eV per cell. The total energy is -4.7935 eV/atom.

The space group is P4/mmm (No. 123) and the conventional cell measures 3.430, 3.430 and 6.796 Å, with angles of 90.00, 90.00 and 90.00 degrees. The distinct sites, in fractional coordinates, are Mg at (0.000, 0.000, 0.000), Sc at (0.000, 0.000, 0.500) and Se at (0.500, 0.500, 0.261).

Record 9
A geometry-optimized MgScSe2 structure, computed with PBE-GGA.

The value obtained for the formation energy (no corrections) is -1256.0 meV per atom. The density of states at the Fermi level is 4.56 states/eV per cell. The total energy is -4.9798 eV/atom.

The space group is Imm2 (No. 44) and the conventional cell measures 3.604, 3.655 and 12.865 Å, with angles of 90.00, 90.00 and 90.00 degrees. The distinct sites, in fractional coordinates, are Mg at (0.000, 0.000, 0.000), Sc at (0.000, 0.500, 0.763), Se at (0.000, 0.000, 0.425) and Se at (0.000, 0.500, 0.179).

Record 10
A geometry-optimized MgScSe2 structure, computed with PBE-GGA.

The value obtained for the formation energy (no corrections) is -1065.2 meV per atom. The density of states at the Fermi level is 1.64 states/eV per cell. The total energy is -4.7890 eV/atom.

The space group is Pmmm (No. 47) and the conventional cell measures 3.578, 4.065 and 5.778 Å, with angles of 90.00, 90.00 and 90.00 degrees. The distinct sites, in fractional coordinates, are Mg at (0.000, 0.000, 0.000), Sc at (0.000, 0.500, 0.500), Se at (0.500, 0.000, 0.500) and Se at (0.500, 0.500, 0.000).

Record 11
A geometry-optimized Mg3ScSe structure, computed with PBE-GGA.

The distance to the lowest polymorph of the same formula comes out at 801 meV per atom. The value obtained for the formation energy (no corrections) is 900.6 meV per atom. The density of states at the Fermi level is 1.32 states/eV per cell. The total energy is -2.0194 eV/atom.

The space group is Pm-3m (No. 221) and the conventional cell measures 5.650, 5.650 and 5.650 Å, with angles of 90.00, 90.00 and 90.00 degrees. The distinct sites, in fractional coordinates, are Mg at (0.000, 0.000, 0.500), Sc at (0.000, 0.000, 0.000) and Se at (0.500, 0.500, 0.500).

Record 12
A geometry-optimized MgSc2Se structure, computed with PBE-GGA.

The distance to the lowest polymorph of the same formula comes out at 648 meV per atom. The value obtained for the formation energy (no corrections) is -102.9 meV per atom. The density of states at the Fermi level is 20.71 states/eV per cell. The total energy is -4.5384 eV/atom.

The space group is R-3m (No. 166, hexagonal axes) and the conventional cell measures 3.4619, 3.4619 and 29.9878 Å, with angles of 90.00, 90.00 and 120.00 degrees. The distinct sites, in fractional coordinates, are Mg at (0.0000, 0.0000, 0.0000), Sc at (0.0000, 0.0000, 0.4165) and Se at (0.0000, 0.0000, 0.5000).